Record 1
Density functional theory data (PBE) for crystalline RbNaCa2 at its relaxed geometry.

Structure (POSCAR):
```
RbNaCa2
1.0
-4.682 -2.528 0.490
2.498 -4.706 -0.412
0.595 -3.973 14.336
Na Ca Rb
2 4 2
Cartesian
-1.092 -3.617 0.039 Na
1.001 -6.148 6.982 Na
-2.420 -3.137 3.834 Ca
1.080 -4.275 3.392 Ca
-0.348 -5.738 10.777 Ca
-1.488 -9.264 10.824 Ca
0.000 0.000 0.000 Rb
-2.589 -5.059 7.432 Rb
```

Results
DOS(E_F) in states/eV/f.u.: 3.94
Formation energy from the elements in eV/atom: 0.292
Energy in eV per formula unit: -5.123


Record 2
Density functional theory data (PBE) for crystalline RbNa3Ca at its relaxed geometry.

Structure (POSCAR):
```
RbNa3Ca
1.0
6.787 0.000 0.000
0.000 6.787 0.000
0.000 0.000 6.787
Na Ca Rb
3 1 1
Cartesian
0.000 3.394 0.000 Na
0.000 0.000 3.394 Na
3.394 0.000 0.000 Na
0.000 0.000 0.000 Ca
3.394 3.394 3.394 Rb
```

Results
Relative energy among the computed polymorphs in meV/atom: 0
DOS(E_F) in states/eV/f.u.: 3.89
Formation energy from the elements in eV/atom: 0.321
Energy in eV per formula unit: -5.319


Record 3
Density functional theory data (PBE) for crystalline Rb2NaCa at its relaxed geometry.

Structure (POSCAR):
```
Rb2NaCa
1.0
-5.331 -3.227 -9.296
8.851 -6.192 -2.926
0.211 -7.861 -4.129
Na Ca Rb
2 2 4
Cartesian
1.760 -4.709 -6.111 Na
5.411 -9.381 -6.583 Na
0.000 0.000 0.000 Ca
-1.680 -7.898 -9.768 Ca
-2.003 -4.653 -6.912 Rb
4.748 -6.341 -4.320 Rb
1.760 -9.625 -7.774 Rb
2.956 -13.940 -13.699 Rb
```

Results
DOS(E_F) in states/eV/f.u.: 3.95
Formation energy from the elements in eV/atom: 0.259
Energy in eV per formula unit: -4.218


Record 4
Density functional theory data (PBE) for crystalline Rb2NaCa at its relaxed geometry.

Structure (POSCAR):
```
Rb2NaCa
1.0
4.320 0.000 0.000
0.000 4.320 0.000
0.000 0.000 12.928
Na Ca Rb
1 1 2
Cartesian
2.160 2.160 0.000 Na
2.160 2.160 6.464 Ca
0.000 0.000 9.819 Rb
0.000 0.000 3.109 Rb
```

Results
DOS(E_F) in states/eV/f.u.: 3.70
Formation energy from the elements in eV/atom: 0.160
Energy in eV per formula unit: -4.615